{
  "formula": "PPb5",
  "functional": "PBE",
  "state": "relaxed",
  "energy_ev_per_atom": -3.461,
  "mass_density_g_cm3": 8.9,
  "formation_enthalpy_0k_kj_per_mol_atoms": 51.3,
  "total_magnetization_mub_per_cell": 0.5,
  "lattice_angstrom": [[6.228, 0.000, 0.000], [-3.114, 5.393, 0.000], [0.000, 0.000, 5.906]],
  "species": ["P", "Pb", "Pb", "Pb", "Pb", "Pb"],
  "frac_coords": [[0.000, 0.000, 0.000], [0.000, 0.500, 0.500], [0.333, 0.667, 0.000], [0.500, 0.000, 0.500], [0.500, 0.500, 0.500], [0.667, 0.333, 0.000]]
}

***

{
  "formula": "InGeMo2Pt",
  "functional": "PBE",
  "state": "relaxed",
  "energy_ev_per_atom": -4.820,
  "mass_density_g_cm3": 7.8,
  "formation_enthalpy_0k_kj_per_mol_atoms": 211.4,
  "total_magnetization_mub_per_cell": 4.8,
  "lattice_angstrom": [[5.049, 0.000, 0.000], [0.000, 5.049, 0.000], [0.000, 0.000, 4.814]],
  "species": ["In", "Ge", "Mo", "Mo", "Pt"],
  "frac_coords": [[0.000, 0.000, 0.000], [0.000, 0.000, 0.500], [0.000, 0.500, 0.000], [0.500, 0.000, 0.000], [0.500, 0.500, 0.500]]
}

***

{
  "formula": "TbPrInN3",
  "functional": "PBE",
  "state": "relaxed",
  "energy_ev_per_atom": -7.053,
  "mass_density_g_cm3": 8.3,
  "total_magnetization_mub_per_cell": 0.0,
  "lattice_angstrom": [[5.979, 0.000, 0.000], [0.000, 3.482, 0.000], [-1.476, 0.000, 8.793]],
  "species": ["Tb", "Tb", "Pr", "Pr", "In", "In", "N", "N", "N", "N", "N", "N"],
  "frac_coords": [[0.239, 0.250, 0.450], [0.761, 0.750, 0.550], [0.338, 0.750, 0.807], [0.662, 0.250, 0.193], [0.149, 0.750, 0.143], [0.851, 0.250, 0.857], [0.043, 0.250, 0.662], [0.249, 0.250, 0.014], [0.458, 0.750, 0.341], [0.542, 0.250, 0.659], [0.751, 0.750, 0.986], [0.957, 0.750, 0.338]]
}

***

{
  "formula": "KBaInCl6",
  "functional": "PBE",
  "state": "relaxed",
  "energy_ev_per_atom": -3.639,
  "mass_density_g_cm3": 2.7,
  "total_magnetization_mub_per_cell": 0.0,
  "lattice_angstrom": [[7.524, 0.000, 0.000], [-3.762, 6.516, 0.000], [0.000, 0.000, 12.666]],
  "species": ["K", "K", "Ba", "Ba", "In", "In", "Cl", "Cl", "Cl", "Cl", "Cl", "Cl", "Cl", "Cl", "Cl", "Cl", "Cl", "Cl"],
  "frac_coords": [[0.000, 0.000, 0.000], [0.000, 0.000, 0.500], [0.333, 0.667, 0.250], [0.667, 0.333, 0.750], [0.333, 0.667, 0.750], [0.667, 0.333, 0.250], [0.054, 0.389, 0.633], [0.054, 0.664, 0.867], [0.336, 0.389, 0.867], [0.336, 0.946, 0.633], [0.389, 0.054, 0.133], [0.389, 0.336, 0.367], [0.611, 0.664, 0.633], [0.611, 0.946, 0.867], [0.664, 0.054, 0.367], [0.664, 0.611, 0.133], [0.946, 0.336, 0.133], [0.946, 0.611, 0.367]]
}

***

{
  "formula": "KNi",
  "functional": "PBE",
  "state": "relaxed",
  "energy_ev_per_atom": -2.818,
  "mass_density_g_cm3": 2.3,
  "formation_enthalpy_0k_kj_per_mol_atoms": 60.0,
  "total_magnetization_mub_per_cell": 4.4,
  "lattice_angstrom": [[8.455, 0.000, 0.000], [0.000, 7.551, 0.000], [0.000, 0.000, 8.817]],
  "species": ["K", "K", "K", "K", "K", "K", "K", "K", "Ni", "Ni", "Ni", "Ni", "Ni", "Ni", "Ni", "Ni"],
  "frac_coords": [[0.093, 0.250, 0.213], [0.209, 0.250, 0.693], [0.291, 0.750, 0.193], [0.407, 0.750, 0.713], [0.593, 0.250, 0.287], [0.709, 0.250, 0.807], [0.791, 0.750, 0.307], [0.907, 0.750, 0.787], [0.095, 0.602, 0.491], [0.095, 0.898, 0.491], [0.405, 0.102, 0.991], [0.405, 0.398, 0.991], [0.595, 0.602, 0.009], [0.595, 0.898, 0.009], [0.905, 0.102, 0.509], [0.905, 0.398, 0.509]]
}

***

{
  "formula": "La6IrRu2I3",
  "functional": "PBE",
  "state": "relaxed",
  "energy_ev_per_atom": -6.024,
  "mass_density_g_cm3": 7.0,
  "total_magnetization_mub_per_cell": 0.0,
  "lattice_angstrom": [[3.662, -6.342, 0.000], [3.662, 6.342, 0.000], [-2.442, 0.000, 8.241]],
  "species": ["La", "La", "La", "La", "La", "La", "Ir", "Ru", "Ru", "I", "I", "I"],
  "frac_coords": [[0.101, 0.438, 0.815], [0.224, 0.224, 0.185], [0.438, 0.101, 0.815], [0.562, 0.899, 0.185], [0.776, 0.776, 0.815], [0.899, 0.562, 0.185], [0.500, 0.500, 0.000], [0.167, 0.833, 0.000], [0.833, 0.167, 0.000], [0.000, 0.000, 0.500], [0.333, 0.667, 0.500], [0.667, 0.333, 0.500]]
}